1.
# Mg2CuHRh | Alexandria | PBE | optimized geometry
# Offset from the most stable computed form: 0.0000 eV/atom
data_Mg2CuHRh
_chemical_formula_sum 'Mg2 Cu1 H1 Rh1'
_cell_length_a 4.388
_cell_length_b 4.388
_cell_length_c 3.420
_cell_angle_alpha 90.00
_cell_angle_beta 90.00
_cell_angle_gamma 90.00
_symmetry_space_group_name_H-M 'P 1'
_symmetry_Int_Tables_number 1
loop_
_symmetry_equiv_pos_as_xyz
'x,y,z'
loop_
_atom_site_label
_atom_site_type_symbol
_atom_site_fract_x
_atom_site_fract_y
_atom_site_fract_z
Rh1 Rh 0.000 0.000 0.500
Cu1 Cu 0.500 0.500 0.500
Mg1 Mg 0.500 0.000 0.000
Mg2 Mg 0.000 0.500 0.000
H1 H 0.000 0.000 0.000



2.
# Pm3DyY6Er2 | Alexandria | PBE | optimized geometry
# Formation enthalpy at 0 K: 0.020 eV/atom
data_Pm3DyY6Er2
_chemical_formula_sum 'Pm3 Dy1 Y6 Er2'
_cell_length_a 6.200
_cell_length_b 6.200
_cell_length_c 11.837
_cell_angle_alpha 94.99
_cell_angle_beta 94.99
_cell_angle_gamma 119.96
_symmetry_space_group_name_H-M 'P 1'
_symmetry_Int_Tables_number 1
loop_
_symmetry_equiv_pos_as_xyz
'x,y,z'
loop_
_atom_site_label
_atom_site_type_symbol
_atom_site_fract_x
_atom_site_fract_y
_atom_site_fract_z
Pm1 Pm 0.833 0.167 0.500
Pm2 Pm 0.500 0.500 0.500
Pm3 Pm 0.167 0.833 0.500
Dy1 Dy 0.000 0.000 0.000
Er1 Er 0.667 0.333 0.000
Er2 Er 0.333 0.667 0.000
Y1 Y 0.584 0.918 0.753
Y2 Y 0.749 0.749 0.247
Y3 Y 0.251 0.251 0.753
Y4 Y 0.416 0.082 0.247
Y5 Y 0.918 0.584 0.753
Y6 Y 0.082 0.416 0.247



3.
# Tm6AsP3S2 | Alexandria | PBE | optimized geometry
# Energy relative to the elements, uncorrected: -1.758 eV per atom
data_Tm6AsP3S2
_chemical_formula_sum 'Tm6 As1 P3 S2'
_cell_length_a 3.940
_cell_length_b 7.874
_cell_length_c 8.810
_cell_angle_alpha 103.06
_cell_angle_beta 102.92
_cell_angle_gamma 90.00
_symmetry_space_group_name_H-M 'P 1'
_symmetry_Int_Tables_number 1
loop_
_symmetry_equiv_pos_as_xyz
'x,y,z'
loop_
_atom_site_label
_atom_site_type_symbol
_atom_site_fract_x
_atom_site_fract_y
_atom_site_fract_z
P1 P 0.833 0.168 0.665
P2 P 0.167 0.832 0.335
P3 P 0.500 0.500 0.000
Tm1 Tm 0.669 0.078 0.337
Tm2 Tm 0.331 0.922 0.663
Tm3 Tm 0.999 0.255 0.997
Tm4 Tm 0.001 0.745 0.003
Tm5 Tm 0.336 0.412 0.671
Tm6 Tm 0.664 0.588 0.329
S1 S 0.168 0.336 0.337
S2 S 0.832 0.664 0.663
As1 As 0.500 0.000 0.000



4.
# YNiSe3 | Alexandria | PBE | optimized geometry
# Energy relative to the elements, uncorrected: 0.208 eV per atom
# Offset from the most stable computed form: 0.8395 eV/atom
data_YNiSe3
_chemical_formula_sum 'Y1 Ni1 Se3'
_cell_length_a 5.437
_cell_length_b 5.437
_cell_length_c 5.437
_cell_angle_alpha 90.00
_cell_angle_beta 90.00
_cell_angle_gamma 90.00
_symmetry_space_group_name_H-M 'P 1'
_symmetry_Int_Tables_number 1
loop_
_symmetry_equiv_pos_as_xyz
'x,y,z'
loop_
_atom_site_label
_atom_site_type_symbol
_atom_site_fract_x
_atom_site_fract_y
_atom_site_fract_z
Se1 Se 0.000 0.500 0.000
Se2 Se 0.000 0.000 0.500
Se3 Se 0.500 0.000 0.000
Y1 Y 0.000 0.000 0.000
Ni1 Ni 0.500 0.500 0.500



5.
# SrGa6Pd2 | Alexandria | PBE | optimized geometry
# Formation enthalpy at 0 K: -0.374 eV/atom
data_SrGa6Pd2
_chemical_formula_sum 'Sr1 Ga6 Pd2'
_cell_length_a 4.747
_cell_length_b 4.747
_cell_length_c 7.926
_cell_angle_alpha 90.00
_cell_angle_beta 90.00
_cell_angle_gamma 90.00
_symmetry_space_group_name_H-M 'P 1'
_symmetry_Int_Tables_number 1
loop_
_symmetry_equiv_pos_as_xyz
'x,y,z'
loop_
_atom_site_label
_atom_site_type_symbol
_atom_site_fract_x
_atom_site_fract_y
_atom_site_fract_z
Pd1 Pd 0.500 0.500 0.825
Pd2 Pd 0.500 0.500 0.175
Sr1 Sr 0.000 0.000 0.000
Ga1 Ga 0.500 0.000 0.696
Ga2 Ga 0.000 0.000 0.500
Ga3 Ga 0.500 0.000 0.304
Ga4 Ga 0.000 0.500 0.696
Ga5 Ga 0.000 0.500 0.304
Ga6 Ga 0.500 0.500 0.500



6.
# KCo2As | Alexandria | PBE | optimized geometry
# Formation enthalpy at 0 K: -0.029 eV/atom
data_KCo2As
_chemical_formula_sum 'K1 Co2 As1'
_cell_length_a 4.114
_cell_length_b 4.114
_cell_length_c 6.451
_cell_angle_alpha 71.54
_cell_angle_beta 71.54
_cell_angle_gamma 60.00
_symmetry_space_group_name_H-M 'P 1'
_symmetry_Int_Tables_number 1
loop_
_symmetry_equiv_pos_as_xyz
'x,y,z'
loop_
_atom_site_label
_atom_site_type_symbol
_atom_site_fract_x
_atom_site_fract_y
_atom_site_fract_z
Co1 Co 0.677 0.677 0.966
Co2 Co 0.004 0.004 0.986
K1 K 0.502 0.502 0.500
As1 As 0.317 0.317 0.048



7.
# LaPrHo2Sb4 | Alexandria | PBE | optimized geometry
# Energy relative to the elements, uncorrected: -1.169 eV per atom
data_LaPrHo2Sb4
_chemical_formula_sum 'La1 Pr1 Ho2 Sb4'
_cell_length_a 4.488
_cell_length_b 7.748
_cell_length_c 7.769
_cell_angle_alpha 70.47
_cell_angle_beta 90.00
_cell_angle_gamma 90.00
_symmetry_space_group_name_H-M 'P 1'
_symmetry_Int_Tables_number 1
loop_
_symmetry_equiv_pos_as_xyz
'x,y,z'
loop_
_atom_site_label
_atom_site_type_symbol
_atom_site_fract_x
_atom_site_fract_y
_atom_site_fract_z
La1 La 0.500 0.500 0.000
Sb1 Sb 0.000 0.236 0.256
Sb2 Sb 0.000 0.764 0.744
Sb3 Sb 0.500 0.763 0.247
Sb4 Sb 0.500 0.237 0.753
Pr1 Pr 0.000 0.500 0.500
Ho1 Ho 0.000 0.000 0.000
Ho2 Ho 0.500 0.000 0.500



8.
# MnSnPS | Alexandria | PBE | optimized geometry
# Energy relative to the elements, uncorrected: -0.231 eV per atom
# Offset from the most stable computed form: 0.0264 eV/atom
data_MnSnPS
_chemical_formula_sum 'Mn2 Sn2 P2 S2'
_cell_length_a 7.279
_cell_length_b 3.521
_cell_length_c 6.062
_cell_angle_alpha 90.00
_cell_angle_beta 106.03
_cell_angle_gamma 90.00
_symmetry_space_group_name_H-M 'P 1'
_symmetry_Int_Tables_number 1
loop_
_symmetry_equiv_pos_as_xyz
'x,y,z'
loop_
_atom_site_label
_atom_site_type_symbol
_atom_site_fract_x
_atom_site_fract_y
_atom_site_fract_z
Sn1 Sn 0.600 0.000 0.601
Sn2 Sn 0.600 0.500 0.101
Mn1 Mn 0.132 0.500 0.947
Mn2 Mn 0.132 0.000 0.447
S1 S 0.948 0.000 0.052
S2 S 0.948 0.500 0.552
P1 P 0.315 0.000 0.841
P2 P 0.315 0.500 0.341



9.
# HoPu2Sc3Te6 | Alexandria | PBE | optimized geometry
# Energy relative to the elements, uncorrected: -1.136 eV per atom
data_HoPu2Sc3Te6
_chemical_formula_sum 'Ho1 Pu2 Sc3 Te6'
_cell_length_a 4.256
_cell_length_b 8.604
_cell_length_c 9.586
_cell_angle_alpha 103.50
_cell_angle_beta 102.83
_cell_angle_gamma 90.00
_symmetry_space_group_name_H-M 'P 1'
_symmetry_Int_Tables_number 1
loop_
_symmetry_equiv_pos_as_xyz
'x,y,z'
loop_
_atom_site_label
_atom_site_type_symbol
_atom_site_fract_x
_atom_site_fract_y
_atom_site_fract_z
Te1 Te 0.005 0.744 0.011
Te2 Te 0.337 0.407 0.675
Te3 Te 0.995 0.256 0.989
Te4 Te 0.669 0.071 0.337
Te5 Te 0.331 0.929 0.663
Te6 Te 0.663 0.593 0.325
Ho1 Ho 0.500 0.000 0.000
Sc1 Sc 0.832 0.167 0.663
Sc2 Sc 0.500 0.500 0.000
Sc3 Sc 0.168 0.833 0.337
Pu1 Pu 0.834 0.668 0.668
Pu2 Pu 0.166 0.332 0.332



10.
# CsKMg6 | Alexandria | PBE | optimized geometry
# Formation enthalpy at 0 K: 0.241 eV/atom
# Offset from the most stable computed form: 0.0801 eV/atom
data_CsKMg6
_chemical_formula_sum 'Cs1 K1 Mg6'
_cell_length_a 8.138
_cell_length_b 8.138
_cell_length_c 5.144
_cell_angle_alpha 90.00
_cell_angle_beta 90.00
_cell_angle_gamma 114.63
_symmetry_space_group_name_H-M 'P 1'
_symmetry_Int_Tables_number 1
loop_
_symmetry_equiv_pos_as_xyz
'x,y,z'
loop_
_atom_site_label
_atom_site_type_symbol
_atom_site_fract_x
_atom_site_fract_y
_atom_site_fract_z
Mg1 Mg 0.994 0.359 0.000
Mg2 Mg 0.885 0.115 0.500
Mg3 Mg 0.502 0.138 0.500
Mg4 Mg 0.641 0.006 0.000
Mg5 Mg 0.620 0.380 0.000
Mg6 Mg 0.862 0.498 0.500
Cs1 Cs 0.401 0.599 0.500
K1 K 0.096 0.904 0.000



11.
# Y2HgF2 | Alexandria | PBE | optimized geometry
# Energy relative to the elements, uncorrected: -2.348 eV per atom
data_Y2HgF2
_chemical_formula_sum 'Y2 Hg1 F2'
_cell_length_a 3.698
_cell_length_b 3.698
_cell_length_c 7.354
_cell_angle_alpha 75.44
_cell_angle_beta 75.44
_cell_angle_gamma 90.00
_symmetry_space_group_name_H-M 'P 1'
_symmetry_Int_Tables_number 1
loop_
_symmetry_equiv_pos_as_xyz
'x,y,z'
loop_
_atom_site_label
_atom_site_type_symbol
_atom_site_fract_x
_atom_site_fract_y
_atom_site_fract_z
F1 F 0.250 0.750 0.500
F2 F 0.750 0.250 0.500
Y1 Y 0.363 0.363 0.275
Y2 Y 0.637 0.637 0.725
Hg1 Hg 0.000 0.000 0.000